No. 1
YFe2: relaxed, PBE.

It has space group Cmcm (No. 63), with a = 9.869 Å, b = 5.123 Å, c = 4.108 Å, α = 90.00°, β = 90.00° and γ = 90.00°. The distinct sites, in fractional coordinates, are Y at (0.000, 0.247, 0.250) and Fe at (0.222, 0.376, 0.750).

The value obtained for the magnetization is 14.6 Bohr magnetons per cell. The calculation puts the uncorrected energy at -7.7142 eV per atom. The calculated formation energy is 0.08 eV/atom.


No. 2
Tb2PmOs: relaxed, PBE.

It has space group Pnma (No. 62), with a = 7.450 Å, b = 9.199 Å, c = 6.430 Å, α = 90.00°, β = 90.00° and γ = 90.00°. The distinct sites, in fractional coordinates, are Tb at (0.175, 0.065, 0.167), Pm at (0.040, 0.250, 0.631) and Os at (0.115, 0.750, 0.952).

The value obtained for the magnetization is 0.0 Bohr magnetons per cell. The calculation puts the uncorrected energy at -6.5120 eV per atom. The calculated formation energy is -0.20 eV/atom.


No. 3
PmTm2CdHg4: relaxed, PBE.

It has space group R-3m (No. 166, hexagonal axes), with a = 5.0880 Å, b = 5.0880 Å, c = 26.7720 Å, α = 90.00°, β = 90.00° and γ = 120.00°. The distinct sites, in fractional coordinates, are Pm at (0.0000, 0.0000, 0.0000), Tm at (0.0000, 0.0000, 0.2407), Cd at (0.0000, 0.0000, 0.5000), Hg at (0.0000, 0.0000, 0.1239) and Hg at (0.0000, 0.0000, 0.3783).

The value obtained for the magnetization is 0.0 Bohr magnetons per cell. The calculation puts the uncorrected energy at -2.3720 eV per atom. The calculated formation energy is -0.39 eV/atom.


No. 4
Sr2MgGa2Ir: relaxed, PBE.

It has space group Ibam (No. 72), with a = 6.273 Å, b = 15.486 Å, c = 6.300 Å, α = 90.00°, β = 90.00° and γ = 90.00°. The distinct sites, in fractional coordinates, are Sr at (0.244, 0.165, 0.000), Mg at (0.000, 0.000, 0.250), Ga at (0.219, 0.405, 0.000) and Ir at (0.000, 0.500, 0.250).

The value obtained for the magnetization is 0.0 Bohr magnetons per cell. The calculation puts the uncorrected energy at -3.6994 eV per atom. The calculated formation energy is -0.39 eV/atom.


What did the third record say?
PmTm2CdHg4: relaxed, PBE.

It has space group R-3m (No. 166, hexagonal axes), with a = 5.0880 Å, b = 5.0880 Å, c = 26.7720 Å, α = 90.00°, β = 90.00° and γ = 120.00°. The distinct sites, in fractional coordinates, are Pm at (0.0000, 0.0000, 0.0000), Tm at (0.0000, 0.0000, 0.2407), Cd at (0.0000, 0.0000, 0.5000), Hg at (0.0000, 0.0000, 0.1239) and Hg at (0.0000, 0.0000, 0.3783).

The value obtained for the magnetization is 0.0 Bohr magnetons per cell. The calculation puts the uncorrected energy at -2.3720 eV per atom. The calculated formation energy is -0.39 eV/atom.


Q: calculated formation energy of number 4 (Sr2MgGa2Ir)?
A: -0.39 eV/atom